ZrAgRu2 | PBE | relaxed

Lattice parameters (Å, degrees): 3.4253 3.4253 5.8598 90.00 90.00 90.00
With the nearest neighbours (Å) after each atom.
Sites, in units of the cell vectors:
Zr 0.0000 0.0000 0.4739  5 Ru 2.58-2.81
Ru 0.0000 0.0000 0.0337  1 Zr 2.58, 4 Ru 2.68
Ru 0.5000 0.5000 0.2314  4 Ru 2.68, 1 Ag 2.76, 4 Zr 2.81
Ag 0.5000 0.5000 0.7610  5 Ru 2.76-2.90, 4 Zr 2.95

Properties
crystal system = tetragonal
density of states at the Fermi level = 3.424 states/eV per cell
E above lowest polymorph = 137 meV per atom
SG = No. 99

KThS3 | PBE | relaxed

Lattice parameters (Å, degrees): 5.4867 5.4867 5.4867 90.00 90.00 90.00
With the nearest neighbours (Å) after each atom.
Sites, in units of the cell vectors:
S 0.0000 0.5000 0.0000  2 Th 2.74
S 0.0000 0.0000 0.5000  2 Th 2.74
S 0.5000 0.0000 0.0000  2 Th 2.74
Th 0.0000 0.0000 0.0000  6 S 2.74
K 0.5000 0.5000 0.5000  12 S 3.88

Properties
crystal system = cubic
density of states at the Fermi level = 2.980 states/eV per cell
E above lowest polymorph = 0 meV per atom
formation energy without anion corrections = -663 kJ/mol of formula units
SG = No. 221

AcY14Pu | PBE | relaxed

Lattice parameters (Å, degrees): 7.2007 7.2007 10.1057 90.00 90.00 90.00
With the nearest neighbours (Å) after each atom.
Sites, in units of the cell vectors:
Y 0.1292 0.3792 0.2513  10 Y 3.54-3.66, 1 Pu 3.57, 1 Ac 3.63
Y 0.1292 0.8708 0.2513  10 Y 3.54-3.66, 1 Pu 3.56, 1 Ac 3.63
Y 0.3751 0.1251 0.0000  8 Y 3.60, 2 Pu 3.60, 2 Ac 3.60
Y 0.3750 0.1250 0.5000  12 Y 3.58-3.60
Y 0.1292 0.3792 0.7487  10 Y 3.54-3.66, 1 Pu 3.57, 1 Ac 3.63
Y 0.3750 0.6250 0.5000  12 Y 3.55-3.60
Y 0.1292 0.8708 0.7487  10 Y 3.54-3.66, 1 Pu 3.56, 1 Ac 3.63
Y 0.6208 0.8708 0.2513  10 Y 3.54-3.66, 1 Pu 3.57, 1 Ac 3.63
Y 0.6208 0.3792 0.7487  10 Y 3.54-3.66, 1 Pu 3.57, 1 Ac 3.63
Y 0.6208 0.3792 0.2513  10 Y 3.54-3.66, 1 Pu 3.57, 1 Ac 3.63
Y 0.8750 0.1250 0.5000  12 Y 3.60-3.61
Y 0.8749 0.6249 0.0000  8 Y 3.60, 2 Pu 3.60, 2 Ac 3.60
Y 0.6208 0.8708 0.7487  10 Y 3.54-3.66, 1 Pu 3.57, 1 Ac 3.63
Y 0.8750 0.6250 0.5000  12 Y 3.58-3.60
Ac 0.8751 0.1249 0.0000  12 Y 3.60-3.63
Pu 0.3749 0.6251 0.0000  12 Y 3.56-3.60

Properties
crystal system = tetragonal
density of states at the Fermi level = 30.806 states/eV per cell
SG = No. 123
DFT total energy = -6.75 eV/atom

SrZr2Au | PBE | relaxed

Lattice parameters (Å, degrees): 3.3554 5.1727 5.7016 90.00 90.00 90.00
With the nearest neighbours (Å) after each atom.
Sites, in units of the cell vectors:
Sr 0.0000 0.5000 0.5000  4 Au 3.08, 4 Zr 3.31, 2 Sr 3.36
Zr 0.5000 0.5000 0.0000  6 Zr 3.08-3.36, 4 Sr 3.31
Zr 0.0000 0.0000 0.0000  6 Zr 3.08-3.36, 4 Au 3.31
Au 0.5000 0.0000 0.5000  4 Sr 3.08, 4 Zr 3.31, 2 Au 3.36

Properties
crystal system = orthorhombic
density of states at the Fermi level = 4.282 states/eV per cell
E above lowest polymorph = 313 meV per atom
SG = No. 47